Record 1
Compound: Ho2ErSc3S6
Source: the Alexandria database
Functional: GGA-PBE
Structure: relaxed

As for the uncorrected formation energy: -44.11 kcal/mol of atoms. As for the space-group type: C2/m, No. 12.

Cell: 8.455 8.455 7.592 Å, 102.90 102.90 25.85°
Fractional coordinates of all 12 atoms:
Ho 0.167 0.167 0.334
Ho 0.833 0.833 0.666
Er 0.500 0.500 0.000
Sc 0.167 0.167 0.833
Sc 0.500 0.500 0.500
Sc 0.833 0.833 0.167
S 0.003 0.003 0.744
S 0.331 0.331 0.925
S 0.337 0.337 0.409
S 0.663 0.663 0.591
S 0.669 0.669 0.075
S 0.997 0.997 0.256

---

Record 2
Compound: Y5ErTm12
Source: the Alexandria database
Functional: GGA-PBE
Structure: relaxed

As for the space-group type: C2/m, No. 12. As for the energy: -90.52 eV per cell.

Cell: 6.141 6.141 17.035 Å, 93.48 93.48 119.94°
Fractional coordinates of all 18 atoms:
Y 0.000 0.000 0.000
Y 0.167 0.833 0.500
Y 0.333 0.667 0.000
Y 0.667 0.333 0.000
Y 0.833 0.167 0.500
Er 0.500 0.500 0.500
Tm 0.056 0.722 0.169
Tm 0.112 0.112 0.332
Tm 0.224 0.556 0.668
Tm 0.278 0.944 0.831
Tm 0.389 0.389 0.168
Tm 0.444 0.776 0.332
Tm 0.556 0.224 0.668
Tm 0.611 0.611 0.832
Tm 0.722 0.056 0.169
Tm 0.776 0.444 0.332
Tm 0.888 0.888 0.668
Tm 0.944 0.278 0.831